[1]
# CrPt2W, optimized geometry, DFT GGA-PBE
# VASP energy in eV per atom: -8.600
# ΔE to the lowest computed polymorph in eV/atom: 0.266
# Calculated density in g/cm3: 17.24
# Calculated formation energy in eV per atom: 0.064
data_CrPt2W
_cell_length_a 6.225
_cell_length_b 6.225
_cell_length_c 6.225
_cell_angle_alpha 90.00
_cell_angle_beta 90.00
_cell_angle_gamma 90.00
_symmetry_space_group_name_H-M 'F -4 3 m'
_symmetry_Int_Tables_number 216
_symmetry_space_group_name_Hall 'F -4 2 3'
loop_
_atom_site_label
_atom_site_fract_x
_atom_site_fract_y
_atom_site_fract_z
Cr1 0.000 0.000 0.000
Pt1 0.000 0.000 0.500
Pt2 0.250 0.250 0.750
W1 0.250 0.250 0.250

[2]
# CrPt2W, optimized geometry, DFT GGA-PBE
# VASP energy in eV per atom: -8.667
# ΔE to the lowest computed polymorph in eV/atom: 0.200
# Calculated density in g/cm3: 16.53
# Calculated formation energy in eV per atom: -0.002
data_CrPt2W
_cell_length_a 4.765
_cell_length_b 4.765
_cell_length_c 2.769
_cell_angle_alpha 90.00
_cell_angle_beta 90.00
_cell_angle_gamma 90.00
_symmetry_space_group_name_H-M 'P 4/m m m'
_symmetry_Int_Tables_number 123
_symmetry_space_group_name_Hall '-P 4 2'
loop_
_atom_site_label
_atom_site_fract_x
_atom_site_fract_y
_atom_site_fract_z
Cr1 0.000 0.000 0.000
Pt1 0.000 0.500 0.500
W1 0.500 0.500 0.000

[3]
# CrPt2W, optimized geometry, DFT GGA-PBE
# VASP energy in eV per atom: -8.558
# ΔE to the lowest computed polymorph in eV/atom: 0.308
# Calculated density in g/cm3: 16.56
# Calculated formation energy in eV per atom: 0.106
data_CrPt2W
_cell_length_a 6.309
_cell_length_b 6.309
_cell_length_c 6.309
_cell_angle_alpha 90.00
_cell_angle_beta 90.00
_cell_angle_gamma 90.00
_symmetry_space_group_name_H-M 'F m -3 m'
_symmetry_Int_Tables_number 225
_symmetry_space_group_name_Hall '-F 4 2 3'
loop_
_atom_site_label
_atom_site_fract_x
_atom_site_fract_y
_atom_site_fract_z
Cr1 0.000 0.000 0.000
Pt1 0.250 0.250 0.250
W1 0.000 0.000 0.500

[4]
# CrPt2W, optimized geometry, DFT GGA-PBE
# VASP energy in eV per atom: -8.786
# ΔE to the lowest computed polymorph in eV/atom: 0.081
# Calculated density in g/cm3: 17.52
# Calculated formation energy in eV per atom: -0.121
data_CrPt2W
_cell_length_a 2.725
_cell_length_b 2.725
_cell_length_c 7.990
_cell_angle_alpha 90.00
_cell_angle_beta 90.00
_cell_angle_gamma 90.00
_symmetry_space_group_name_H-M 'P 4 m m'
_symmetry_Int_Tables_number 99
_symmetry_space_group_name_Hall 'P 4 -2'
loop_
_atom_site_label
_atom_site_fract_x
_atom_site_fract_y
_atom_site_fract_z
Cr1 0.000 0.000 0.000
Pt1 0.000 0.000 0.498
Pt2 0.500 0.500 0.217
W1 0.500 0.500 0.745

[5]
# Cr4PtW, optimized geometry, DFT GGA-PBE
# VASP energy in eV per atom: -9.610
# Calculated density in g/cm3: 12.58
# Calculated formation energy in eV per atom: -0.029
data_Cr4PtW
_cell_length_a 6.768
_cell_length_b 6.768
_cell_length_c 6.768
_cell_angle_alpha 90.00
_cell_angle_beta 90.00
_cell_angle_gamma 90.00
_symmetry_space_group_name_H-M 'F -4 3 m'
_symmetry_Int_Tables_number 216
_symmetry_space_group_name_Hall 'F -4 2 3'
loop_
_atom_site_label
_atom_site_fract_x
_atom_site_fract_y
_atom_site_fract_z
Cr1 0.124 0.124 0.376
Pt1 0.000 0.000 0.000
W1 0.250 0.250 0.750

[6]
# CrPt2W, optimized geometry, DFT GGA-PBE
# VASP energy in eV per atom: -8.651
# ΔE to the lowest computed polymorph in eV/atom: 0.215
# Calculated density in g/cm3: 17.36
# Calculated formation energy in eV per atom: 0.013
data_CrPt2W
_cell_length_a 2.7561
_cell_length_b 2.7561
_cell_length_c 27.3089
_cell_angle_alpha 90.00
_cell_angle_beta 90.00
_cell_angle_gamma 120.00
_symmetry_space_group_name_H-M 'R 3 m'
_symmetry_Int_Tables_number 160
_symmetry_space_group_name_Hall 'R 3 -2"'
loop_
_atom_site_label
_atom_site_fract_x
_atom_site_fract_y
_atom_site_fract_z
Cr1 0.0000 0.0000 0.0000
Pt1 0.0000 0.0000 0.4997
Pt2 0.0000 0.0000 0.7428
W1 0.0000 0.0000 0.2498

Q: Among the records above, which one has the lowest VASP energy?
A: Cr4PtW

Q: Which of these has the highest calculated density?
A: number 4